Entry from Alexandria: an optimized crystal structure of RhW2Au (PBE-GGA).

Cell: 9.486 2.916 4.710 Å, 90.00 101.49 90.00°
Sites, in units of the cell vectors:
Rh 0.000 0.000 0.000
Rh 0.500 0.500 0.000
W 0.246 0.500 0.236
W 0.254 0.000 0.764
W 0.746 0.000 0.236
W 0.754 0.500 0.764
Au 0.000 0.500 0.500
Au 0.500 0.000 0.500

calculated formation energy = 0.223 eV per atom
density of states at the Fermi level = 6.06 states/eV per cell
E_tot = -8.91 eV per atom
energy relative to the lowest polymorph listed for this composition = 0.45 eV per formula unit